[1]
Here is a relaxed structure of LaMgCd6 from Alexandria. Energies are from PBE.

abc: 4.722 4.722 9.259
angles: 90.00 90.00 90.00
Space group P4/mmm (No. 123)
Inequivalent atoms, fractional coordinates:
1 La 0.000 0.000 0.000 x1
2 Mg 0.000 0.000 0.500 x1
3 Cd 0.000 0.500 0.324 x4
4 Cd 0.500 0.500 0.146 x2

Computed properties:
calculated volume	206.4	Å³ per cell
energy of formation	-0.113	eV/atom
total energy	-12.92	eV per cell
spin magnetization	0.00	μB per formula unit

***

[2]
Here is a relaxed structure of TaTiBeFe from Alexandria. Energies are from PBE.

abc: 6.016 6.016 6.016
angles: 90.00 90.00 90.00
Space group F-43m (No. 216)
Inequivalent atoms, fractional coordinates:
1 Ta 0.000 0.000 0.000 x4
2 Ti 0.000 0.000 0.500 x4
3 Be 0.250 0.250 0.750 x4
4 Fe 0.250 0.250 0.250 x4

Computed properties:
calculated volume	217.7	Å³ per cell
energy of formation	-0.077	eV/atom
total energy	-128.97	eV per cell
spin magnetization	0.99	μB per formula unit

***

[3]
Here is a relaxed structure of Cs2TaIBr6 from Alexandria. Energies are from PBE.

abc: 12.332 12.332 12.332
angles: 90.00 90.00 90.00
Space group Fm-3m (No. 225)
Inequivalent atoms, fractional coordinates:
1 Cs 0.250 0.250 0.250 x8
2 Ta 0.000 0.000 0.000 x4
3 I 0.000 0.000 0.500 x4
4 Br 0.000 0.000 0.207 x24

Computed properties:
calculated volume	1875.5	Å³ per cell
total energy	-145.70	eV per cell
spin magnetization	0.00	μB per formula unit
formation energy from raw total energies	-1127.9	meV/atom
energy relative to the lowest polymorph listed for this composition	51	meV/atom

***

[4]
Here is a relaxed structure of Y3HgS6 from Alexandria. Energies are from PBE.

abc: 10.713 13.080 6.727
angles: 90.00 90.00 90.00
Space group Cmc2_1 (No. 36)
Inequivalent atoms, fractional coordinates:
1 Y 0.000 0.098 0.000 x4
2 Y 0.183 0.402 0.910 x8
3 Hg 0.000 0.295 0.393 x4
4 S 0.000 0.274 0.757 x4
5 S 0.000 0.471 0.196 x4
6 S 0.162 0.033 0.706 x8
7 S 0.180 0.228 0.170 x8

Computed properties:
calculated volume	942.6	Å³ per cell
total energy	-236.76	eV per cell
spin magnetization	0.00	μB per formula unit
formation energy from raw total energies	-1473.2	meV/atom

***

[5]
Here is a relaxed structure of Pr4Ga12Ru from Alexandria. Energies are from PBE.

abc: 8.835 8.835 8.835
angles: 90.00 90.00 90.00
Space group Im-3m (No. 229)
Inequivalent atoms, fractional coordinates:
1 Pr 0.250 0.250 0.250 x8
2 Ga 0.000 0.000 0.289 x12
3 Ga 0.000 0.250 0.500 x12
4 Ru 0.000 0.000 0.000 x2

Computed properties:
calculated volume	689.6	Å³ per cell
energy of formation	-0.570	eV/atom
total energy	-148.80	eV per cell
spin magnetization	0.00	μB per formula unit

***

[6]
Here is a relaxed structure of HgSbIr2 from Alexandria. Energies are from PBE.

abc: 6.577 6.577 6.577
angles: 90.00 90.00 90.00
Space group Fm-3m (No. 225)
Inequivalent atoms, fractional coordinates:
1 Hg 0.000 0.000 0.000 x4
2 Sb 0.000 0.000 0.500 x4
3 Ir 0.250 0.250 0.250 x8

Computed properties:
calculated volume	284.5	Å³ per cell
total energy	-81.97	eV per cell
spin magnetization	0.00	μB per formula unit
formation energy from raw total energies	413.4	meV/atom
energy relative to the lowest polymorph listed for this composition	90	meV/atom

***

[7]
Here is a relaxed structure of NbNi6H from Alexandria. Energies are from PBE.

abc: 4.8870 4.8870 12.9242
angles: 90.00 90.00 120.00
Space group R-3m (No. 166, hexagonal axes)
Inequivalent atoms, fractional coordinates:
1 Nb 0.0000 0.0000 0.0000 x3
2 Ni 0.0126 0.5063 0.9099 x18
3 H 0.0000 0.0000 0.5000 x3

Computed properties:
calculated volume	267.3	Å³ per cell
total energy	-142.91	eV per cell
spin magnetization	0.99	μB per formula unit

***

[8]
Here is a relaxed structure of Ta5Cr4Os from Alexandria. Energies are from PBE.

abc: 3.112 3.112 15.631
angles: 90.00 90.00 90.00
Space group P4/mmm (No. 123)
Inequivalent atoms, fractional coordinates:
1 Ta 0.000 0.000 0.000 x1
2 Ta 0.000 0.000 0.198 x2
3 Ta 0.000 0.000 0.394 x2
4 Cr 0.500 0.500 0.099 x2
5 Cr 0.500 0.500 0.298 x2
6 Os 0.500 0.500 0.500 x1

Computed properties:
calculated volume	151.4	Å³ per cell
energy of formation	-0.139	eV/atom
total energy	-110.38	eV per cell
spin magnetization	0.00	μB per formula unit

***

[9]
Here is a relaxed structure of LiCeMg2Cd2 from Alexandria. Energies are from PBE.

abc: 4.9803 4.9803 6.6032
angles: 90.00 90.00 120.00
Space group P-3m1 (No. 164)
Inequivalent atoms, fractional coordinates:
1 Li 0.0000 0.0000 0.0000 x1
2 Ce 0.0000 0.0000 0.5000 x1
3 Mg 0.3333 0.6667 0.1881 x2
4 Cd 0.3333 0.6667 0.7310 x2

Computed properties:
calculated volume	141.8	Å³ per cell
energy of formation	-0.126	eV/atom
total energy	-13.62	eV per cell
spin magnetization	1.11	μB per formula unit

***

What did the sixth record say?
Here is a relaxed structure of HgSbIr2 from Alexandria. Energies are from PBE.

abc: 6.577 6.577 6.577
angles: 90.00 90.00 90.00
Space group Fm-3m (No. 225)
Inequivalent atoms, fractional coordinates:
1 Hg 0.000 0.000 0.000 x4
2 Sb 0.000 0.000 0.500 x4
3 Ir 0.250 0.250 0.250 x8

Computed properties:
calculated volume	284.5	Å³ per cell
total energy	-81.97	eV per cell
spin magnetization	0.00	μB per formula unit
formation energy from raw total energies	413.4	meV/atom
energy relative to the lowest polymorph listed for this composition	90	meV/atom